[1]
Material: Li2YSe
Method: DFT, meta-GGA SCAN
State: PBEsol geometry

The calculation puts the total DFT energy (no corrections) at -55.453 eV per cell. The space-group type is I4/mmm.

```
4
Lattice="-3.1901 -0.4506 2.3026 2.1672 -2.0552 2.6003 1.8054 6.0807 0.2858" Properties=species:S:1:pos:R:3 pbc="T T T"
Y 0.0000 0.0000 0.0000
Se -0.5114 -1.2529 2.4515
Li -0.9481 2.1886 2.5200
Li 1.7306 1.3863 2.6688
```

[2]
Material: Li2YSe
Method: DFT, meta-GGA SCAN
State: PBEsol geometry

The calculation puts the total DFT energy (no corrections) at -56.228 eV per cell. The space-group type is Amm2.

```
4
Lattice="-1.7113 -1.1901 3.0914 -0.9750 -3.3819 -1.8416 5.4633 -0.7350 2.7414" Properties=species:S:1:pos:R:3 pbc="T T T"
Y -0.3774 -2.7568 0.9782
Se 1.6278 -0.7936 0.5956
Li 3.6794 -3.7225 0.6038
Li 2.3544 -2.1601 2.7202
```